1.
An optimized crystal structure of TbAlGa2, computed with GGA-PBE.

Results
calculated total energy: -16.5 eV per formula unit

Unit cell a=4.561 b=6.299 c=6.299 alpha=120.18 beta=90.00 gamma=90.00
Element x y z (fractional)
Tb 0.250 0.167 0.833
Tb 0.750 0.833 0.167
Al 0.250 0.212 0.355
Al 0.750 0.355 0.212
Ga 0.250 0.647 0.351
Ga 0.250 0.650 0.796
Ga 0.750 0.351 0.647
Ga 0.750 0.796 0.650

=====

2.
An optimized crystal structure of CdIr2Os, computed with GGA-PBE.

Results
E_form: 252 kJ/mol of formula units
calculated total energy: -27.2 eV per formula unit

Unit cell a=4.462 b=4.462 c=4.462 alpha=60.00 beta=60.00 gamma=60.00
Element x y z (fractional)
Cd 0.000 0.000 0.000
Ir 0.250 0.250 0.250
Ir 0.500 0.500 0.500
Os 0.750 0.750 0.750

=====

3.
An optimized crystal structure of YZr2O4, computed with GGA-PBE.

Results
calculated total energy: -63.0 eV per formula unit

Unit cell a=6.558 b=6.558 c=6.558 alpha=60.00 beta=60.00 gamma=60.00
Element x y z (fractional)
Y 0.125 0.125 0.125
Y 0.875 0.875 0.875
Zr 0.000 0.500 0.500
Zr 0.500 0.000 0.500
Zr 0.500 0.500 0.000
Zr 0.500 0.500 0.500
O 0.258 0.258 0.258
O 0.258 0.258 0.727
O 0.258 0.727 0.258
O 0.273 0.742 0.742
O 0.727 0.258 0.258
O 0.742 0.273 0.742
O 0.742 0.742 0.273
O 0.742 0.742 0.742

=====

4.
An optimized crystal structure of Zr2GaB2, computed with GGA-PBE.

Results
calculated total energy: -37.1 eV per formula unit

Unit cell a=6.279 b=6.279 c=3.560 alpha=90.00 beta=90.00 gamma=150.76
Element x y z (fractional)
Zr 0.139 0.861 0.000
Zr 0.861 0.139 0.000
Ga 0.500 0.500 0.500
B 0.282 0.718 0.500
B 0.718 0.282 0.500

=====

5.
An optimized crystal structure of LiInCuOs, computed with GGA-PBE.

Results
calculated total energy: -18.2 eV per formula unit
ΔE to the lowest computed polymorph: 0.017 eV/atom

Unit cell a=4.399 b=4.399 c=4.399 alpha=60.00 beta=60.00 gamma=60.00
Element x y z (fractional)
Li 0.000 0.000 0.000
In 0.500 0.500 0.500
Cu 0.750 0.750 0.750
Os 0.250 0.250 0.250

=====

6.
An optimized crystal structure of ZnW, computed with GGA-PBE.

Results
E_form: 60 kJ/mol of formula units
calculated total energy: -13.6 eV per formula unit
ΔE to the lowest computed polymorph: 0.090 eV/atom

Unit cell a=4.578 b=5.614 c=9.595 alpha=90.00 beta=90.00 gamma=90.00
Element x y z (fractional)
Zn 0.250 0.001 0.081
Zn 0.250 0.499 0.081
Zn 0.250 0.750 0.327
Zn 0.250 0.750 0.846
Zn 0.750 0.250 0.154
Zn 0.750 0.250 0.673
Zn 0.750 0.501 0.919
Zn 0.750 0.999 0.919
W 0.250 0.250 0.343
W 0.250 0.250 0.820
W 0.250 0.509 0.589
W 0.250 0.991 0.589
W 0.750 0.009 0.411
W 0.750 0.491 0.411
W 0.750 0.750 0.180
W 0.750 0.750 0.657

=====

7.
An optimized crystal structure of TmPaTc, computed with GGA-PBE.

Results
E_form: 258 kJ/mol of formula units
calculated total energy: -21.7 eV per formula unit

Unit cell a=4.630 b=4.630 c=4.630 alpha=60.00 beta=60.00 gamma=60.00
Element x y z (fractional)
Tm 0.000 0.000 0.000
Pa 0.750 0.750 0.750
Tc 0.250 0.250 0.250

=====

8.
An optimized crystal structure of KHoSeO, computed with GGA-PBE.

Results
calculated total energy: -23.2 eV per formula unit
ΔE to the lowest computed polymorph: 0.000 eV/atom

Unit cell a=7.801 b=7.375 c=6.489 alpha=90.00 beta=101.89 gamma=90.00
Element x y z (fractional)
K 0.090 0.224 0.490
K 0.090 0.276 0.990
K 0.910 0.724 0.010
K 0.910 0.776 0.510
Ho 0.475 0.627 0.777
Ho 0.475 0.873 0.277
Ho 0.525 0.127 0.723
Ho 0.525 0.373 0.223
Se 0.243 0.590 0.356
Se 0.243 0.910 0.856
Se 0.757 0.090 0.144
Se 0.757 0.410 0.644
O 0.406 0.149 0.383
O 0.406 0.351 0.883
O 0.594 0.649 0.117
O 0.594 0.851 0.617

=====

9.
An optimized crystal structure of Er3Hf3FeTe2, computed with GGA-PBE.

Results
calculated total energy: -63.3 eV per formula unit
ΔE to the lowest computed polymorph: 0.000 eV/atom

Unit cell a=7.978 b=7.978 c=3.768 alpha=90.00 beta=90.00 gamma=120.00
Element x y z (fractional)
Er 0.000 0.396 0.000
Er 0.396 0.000 0.000
Er 0.604 0.604 0.000
Hf 0.000 0.773 0.500
Hf 0.227 0.227 0.500
Hf 0.773 0.000 0.500
Fe 0.000 0.000 0.000
Te 0.333 0.667 0.500
Te 0.667 0.333 0.500

=====

10.
An optimized crystal structure of RbAgTe2MoS, computed with GGA-PBE.

Results
calculated total energy: -26.5 eV per formula unit

Unit cell a=8.415 b=8.415 c=10.228 alpha=90.00 beta=90.00 gamma=151.49
Element x y z (fractional)
Rb 0.248 0.752 0.750
Rb 0.752 0.248 0.250
Ag 0.468 0.532 0.250
Ag 0.532 0.468 0.750
Te 0.381 0.619 0.025
Te 0.381 0.619 0.475
Te 0.619 0.381 0.525
Te 0.619 0.381 0.975
Mo 0.000 0.000 0.000
Mo 0.000 0.000 0.500
S 0.055 0.945 0.250
S 0.945 0.055 0.750

=====

11.
An optimized crystal structure of Ho4PbSN2, computed with GGA-PBE.

Results
calculated total energy: -54.6 eV per formula unit

Unit cell a=3.555 b=3.555 c=14.041 alpha=90.00 beta=90.00 gamma=120.00
Element x y z (fractional)
Ho 0.000 0.000 0.133
Ho 0.000 0.000 0.867
Ho 0.667 0.333 0.317
Ho 0.667 0.333 0.683
Pb 0.000 0.000 0.500
S 0.667 0.333 0.000
N 0.333 0.667 0.226
N 0.333 0.667 0.774

=====

12.
An optimized crystal structure of Zn, computed with GGA-PBE.

Results
E_form: 0 kJ/mol of formula units
calculated total energy: -1.3 eV per formula unit
ΔE to the lowest computed polymorph: 0.005 eV/atom

Unit cell a=2.675 b=2.675 c=4.716 alpha=90.00 beta=90.00 gamma=120.00
Element x y z (fractional)
Zn 0.333 0.667 0.250
Zn 0.667 0.333 0.750

=====

13.
An optimized crystal structure of Ho2TmGa3AgPt2, computed with GGA-PBE.

Results
calculated total energy: -45.7 eV per formula unit

Unit cell a=3.686 b=7.490 c=7.490 alpha=119.88 beta=90.00 gamma=90.00
Element x y z (fractional)
Ho 0.000 0.204 0.796
Ho 0.000 0.796 0.204
Tm 0.000 0.612 0.612
Ga 0.500 0.205 0.475
Ga 0.500 0.475 0.205
Ga 0.500 0.932 0.932
Ag 0.000 0.205 0.205
Pt 0.500 0.538 0.869
Pt 0.500 0.869 0.538

=====

14.
An optimized crystal structure of YReNO, computed with GGA-PBE.

Results
calculated total energy: -37.4 eV per formula unit
ΔE to the lowest computed polymorph: 0.233 eV/atom

Unit cell a=3.805 b=3.805 c=7.743 alpha=90.00 beta=90.00 gamma=90.00
Element x y z (fractional)
Y 0.250 0.250 0.147
Y 0.750 0.750 0.853
Re 0.250 0.750 0.500
Re 0.750 0.250 0.500
N 0.250 0.250 0.625
N 0.750 0.750 0.375
O 0.250 0.750 0.000
O 0.750 0.250 0.000

=====

15.
An optimized crystal structure of Ta, computed with GGA-PBE.

Results
E_form: 20 kJ/mol of formula units
calculated total energy: -11.6 eV per formula unit
ΔE to the lowest computed polymorph: 0.207 eV/atom

Unit cell a=3.073 b=3.073 c=4.962 alpha=90.00 beta=90.00 gamma=127.36
Element x y z (fractional)
Ta 0.134 0.866 0.750
Ta 0.866 0.134 0.250

=====

16.
An optimized crystal structure of K5OsO5, computed with GGA-PBE.

Results
calculated total energy: -54.6 eV per formula unit

Unit cell a=6.351 b=6.351 c=7.023 alpha=108.64 beta=108.64 gamma=50.07
Element x y z (fractional)
K 0.000 0.000 0.000
K 0.325 0.289 0.188
K 0.357 0.310 0.664
K 0.690 0.643 0.336
K 0.711 0.675 0.812
Os 0.982 0.018 0.500
O 0.158 0.111 0.774
O 0.161 0.092 0.371
O 0.631 0.369 0.500
O 0.889 0.842 0.226
O 0.908 0.839 0.629

=====

17.
An optimized crystal structure of Er, computed with GGA-PBE.

Results
E_form: 18 kJ/mol of formula units
calculated total energy: -4.4 eV per formula unit
ΔE to the lowest computed polymorph: 0.188 eV/atom

Unit cell a=8.535 b=8.535 c=8.535 alpha=90.00 beta=90.00 gamma=90.00
Element x y z (fractional)
Er 0.044 0.125 0.794
Er 0.059 0.941 0.441
Er 0.125 0.794 0.044
Er 0.191 0.191 0.191
Er 0.206 0.544 0.375
Er 0.294 0.456 0.875
Er 0.309 0.809 0.691
Er 0.375 0.206 0.544
Er 0.441 0.059 0.941
Er 0.456 0.875 0.294
Er 0.544 0.375 0.206
Er 0.559 0.559 0.559
Er 0.625 0.706 0.956
Er 0.691 0.309 0.809
Er 0.706 0.956 0.625
Er 0.794 0.044 0.125
Er 0.809 0.691 0.309
Er 0.875 0.294 0.456
Er 0.941 0.441 0.059
Er 0.956 0.625 0.706

=====

18.
An optimized crystal structure of Nb2Al, computed with GGA-PBE.

Results
calculated total energy: -13.6 eV per formula unit

Unit cell a=8.194 b=8.194 c=8.194 alpha=60.00 beta=60.00 gamma=60.00
Element x y z (fractional)
Nb 0.000 0.000 0.000
Nb 0.000 0.000 0.500
Nb 0.000 0.500 0.000
Nb 0.500 0.000 0.000
Al 0.125 0.125 0.125
Al 0.875 0.875 0.875

=====

19.
An optimized crystal structure of Nb2CuIr, computed with GGA-PBE.

Results
E_form: -12 kJ/mol of formula units
calculated total energy: -32.9 eV per formula unit

Unit cell a=4.456 b=4.456 c=4.456 alpha=60.00 beta=60.00 gamma=60.00
Element x y z (fractional)
Nb 0.000 0.000 0.000
Nb 0.250 0.250 0.250
Cu 0.750 0.750 0.750
Ir 0.500 0.500 0.500

=====

20.
An optimized crystal structure of YMgSiIr, computed with GGA-PBE.

Results
calculated total energy: -23.9 eV per formula unit
ΔE to the lowest computed polymorph: 0.025 eV/atom

Unit cell a=4.714 b=4.714 c=4.714 alpha=60.00 beta=60.00 gamma=60.00
Element x y z (fractional)
Y 0.000 0.000 0.000
Mg 0.500 0.500 0.500
Si 0.750 0.750 0.750
Ir 0.250 0.250 0.250